Record 1
Here is an optimized crystal structure of TbThInAu from Alexandria. Energies are from PBE.

Structure (POSCAR):
```
TbThInAu
1.0
5.327 0.000 0.000
2.664 4.614 0.000
2.664 1.538 4.350
Tb Au Th In
1 1 1 1
Direct
0.750 0.750 0.750
0.000 0.000 0.000
0.250 0.250 0.250
0.500 0.500 0.500
```

## Properties
As for the space group: F-43m. The calculation puts the formation energy at -0.45 eV per atom.

=====

Record 2
Here is an optimized crystal structure of PWSCl2 from Alexandria. Energies are from PBE.

Structure (POSCAR):
```
PWSCl2
1.0
4.384 0.000 0.000
0.000 4.384 0.000
0.000 0.000 5.525
P S W Cl
1 1 1 2
Direct
0.000 0.000 0.500
0.000 0.000 0.000
0.500 0.500 0.500
0.000 0.500 0.000
0.500 0.000 0.000
```

## Properties
The value obtained for the formation energy from raw total energies is 1.4091 eV/atom. The excess energy over the best structure of this formula in the dataset comes out at 434 kJ/mol of formula units. As for the space group: P4/mmm.

=====

Record 3
Here is an optimized crystal structure of Pr2DyTm5 from Alexandria. Energies are from PBE.

Structure (POSCAR):
```
Pr2DyTm5
1.0
-1.669 -2.750 3.859
6.173 -3.503 0.173
5.192 9.598 9.085
Pr Dy Tm
4 2 10
Direct
0.500 0.252 0.625
0.500 0.748 0.375
0.500 0.248 0.125
0.500 0.752 0.875
0.000 0.000 0.500
0.000 0.500 0.000
0.000 0.000 0.000
0.000 0.500 0.500
0.000 0.502 0.750
0.000 0.498 0.250
0.000 0.998 0.250
0.000 0.002 0.750
0.500 0.252 0.875
0.500 0.748 0.125
0.500 0.248 0.375
0.500 0.752 0.625
```

## Properties
The excess energy over the best structure of this formula in the dataset comes out at 0 kJ/mol of formula units. As for the space group: Pbam. The calculation puts the formation energy at 0.03 eV per atom.

=====

Record 4
Here is an optimized crystal structure of La4TbEr4 from Alexandria. Energies are from PBE.

Structure (POSCAR):
```
La4TbEr4
1.0
5.131 0.000 0.000
2.565 7.666 0.000
2.565 0.000 7.666
La Tb Er
4 1 4
Direct
0.667 0.666 0.000
0.333 0.334 0.000
0.667 0.000 0.666
0.333 0.000 0.334
0.000 0.000 0.000
0.663 0.337 0.337
0.337 0.663 0.663
0.000 0.663 0.337
0.000 0.337 0.663
```

## Properties
The excess energy over the best structure of this formula in the dataset comes out at 0 kJ/mol of formula units. As for the space group: I4/mmm. The calculation puts the formation energy at 0.03 eV per atom.

=====

Record 5
Here is an optimized crystal structure of CaPuHg3 from Alexandria. Energies are from PBE.

Structure (POSCAR):
```
CaPuHg3
1.0
-0.173 -0.498 -5.561
-4.517 -4.254 0.521
-3.309 7.994 -0.612
Ca Pu Hg
2 2 6
Direct
0.750 0.808 0.615
0.250 0.192 0.385
0.750 0.450 0.900
0.250 0.550 0.100
0.750 0.883 0.281
0.750 0.398 0.281
0.250 0.602 0.719
0.250 0.117 0.719
0.000 0.000 0.000
0.500 0.000 0.000
```

## Properties
As for the space group: Cmcm. The calculation puts the formation energy at -0.14 eV per atom.

=====

Record 6
Here is an optimized crystal structure of NdDy3HoSc from Alexandria. Energies are from PBE.

Structure (POSCAR):
```
NdDy3HoSc
1.0
-0.701 0.400 -4.900
-1.673 -7.363 2.154
-9.500 2.618 1.572
Nd Dy Ho Sc
2 6 2 2
Direct
0.497 0.995 0.750
0.503 0.005 0.250
0.668 0.336 0.500
0.332 0.664 0.500
0.332 0.664 0.000
0.668 0.336 0.000
0.170 0.339 0.750
0.830 0.661 0.250
0.000 0.000 0.500
0.000 0.000 0.000
0.832 0.663 0.750
0.168 0.337 0.250
```

## Properties
As for the space group: Cmcm. The calculation puts the formation energy at 0.04 eV per atom.

=====

Record 7
Here is an optimized crystal structure of CoRuCl3 from Alexandria. Energies are from PBE.

Structure (POSCAR):
```
CoRuCl3
1.0
3.753 -6.906 0.000
3.753 6.906 0.000
0.000 0.000 6.927
Ru Co Cl
2 2 6
Direct
0.272 0.728 0.250
0.728 0.272 0.750
0.101 0.899 0.250
0.899 0.101 0.750
0.917 0.534 0.250
0.466 0.083 0.250
0.534 0.917 0.750
0.083 0.466 0.750
0.000 0.000 0.000
0.000 0.000 0.500
```

## Properties
The value obtained for the formation energy from raw total energies is 0.2231 eV/atom. The excess energy over the best structure of this formula in the dataset comes out at 227 kJ/mol of formula units. As for the space group: Cmcm.

=====

Record 8
Here is an optimized crystal structure of LaBe2Mo from Alexandria. Energies are from PBE.

Structure (POSCAR):
```
LaBe2Mo
1.0
-1.902 -4.392 -0.782
0.620 -2.152 4.302
-2.332 3.940 -1.601
Be Mo La
2 1 1
Direct
0.961 0.961 0.000
0.828 0.328 0.500
0.183 0.683 0.500
0.528 0.528 0.000
```

## Properties
The excess energy over the best structure of this formula in the dataset comes out at 139 kJ/mol of formula units. As for the space group: Imm2. The calculation puts the formation energy at 0.53 eV per atom.

=====

no.,DOS at the Fermi energy (states/eV/cell)
1,3.5
2,3.7
3,24.4
4,13.8
5,23.3
6,17.8
7,10.8
8,2.8